## 1
Below is La2SmEu after structural relaxation, with properties calculated at the GGA-PBE level.

Geometry as CIF:
```
data_La2SmEu
_chemical_formula_sum 'La2 Sm1 Eu1'
_cell_length_a 3.7607
_cell_length_b 3.7607
_cell_length_c 10.5144
_cell_angle_alpha 90.00
_cell_angle_beta 90.00
_cell_angle_gamma 90.00
_symmetry_space_group_name_H-M 'P 4/m m m'
_symmetry_Int_Tables_number 123
_symmetry_space_group_name_Hall '-P 4 2'
loop_
_atom_site_label
_atom_site_type_symbol
_atom_site_fract_x
_atom_site_fract_y
_atom_site_fract_z
_atom_site_occupancy
La1 La 0.0000 0.0000 0.2367 1
Sm1 Sm 0.5000 0.5000 0.0000 1
Eu1 Eu 0.5000 0.5000 0.5000 1
```

---

## 2
Below is La2SmEu after structural relaxation, with properties calculated at the GGA-PBE level.

Geometry as CIF:
```
data_La2SmEu
_chemical_formula_sum 'La2 Sm1 Eu1'
_cell_length_a 5.3152
_cell_length_b 5.3152
_cell_length_c 5.1978
_cell_angle_alpha 90.00
_cell_angle_beta 90.00
_cell_angle_gamma 90.00
_symmetry_space_group_name_H-M 'P 4/m m m'
_symmetry_Int_Tables_number 123
_symmetry_space_group_name_Hall '-P 4 2'
loop_
_atom_site_label
_atom_site_type_symbol
_atom_site_fract_x
_atom_site_fract_y
_atom_site_fract_z
_atom_site_occupancy
La1 La 0.0000 0.5000 0.0000 1
Sm1 Sm 0.0000 0.0000 0.5000 1
Eu1 Eu 0.5000 0.5000 0.5000 1
```

---

1 is preferred energetically. Next in line: 30 meV per atom higher.

---

## 1
Below is LaEuSn after structural relaxation, with properties calculated at the GGA-PBE level.

Geometry as CIF:
```
data_LaEuSn
_chemical_formula_sum 'La1 Eu1 Sn1'
_cell_length_a 5.4502
_cell_length_b 5.4502
_cell_length_c 3.4389
_cell_angle_alpha 90.00
_cell_angle_beta 90.00
_cell_angle_gamma 120.00
_symmetry_space_group_name_H-M 'P 3 m 1'
_symmetry_Int_Tables_number 156
loop_
_symmetry_equiv_pos_as_xyz
'x,y,z'
'-y,x-y,z'
'-x+y,-x,z'
'-y,-x,z'
'-x+y,y,z'
'x,x-y,z'
loop_
_atom_site_label
_atom_site_type_symbol
_atom_site_fract_x
_atom_site_fract_y
_atom_site_fract_z
_atom_site_occupancy
La1 La 0.0000 0.0000 0.0000 1
Eu1 Eu 0.6667 0.3333 0.0031 1
Sn1 Sn 0.3333 0.6667 0.5021 1
```

---

## 2
Below is LaEuSn after structural relaxation, with properties calculated at the GGA-PBE level.

Geometry as CIF:
```
data_LaEuSn
_chemical_formula_sum 'La2 Eu2 Sn2'
_cell_length_a 4.3133
_cell_length_b 4.3133
_cell_length_c 10.1506
_cell_angle_alpha 90.00
_cell_angle_beta 90.00
_cell_angle_gamma 90.00
_symmetry_space_group_name_H-M 'I 4 m m'
_symmetry_Int_Tables_number 107
_symmetry_space_group_name_Hall 'I 4 -2'
loop_
_atom_site_label
_atom_site_type_symbol
_atom_site_fract_x
_atom_site_fract_y
_atom_site_fract_z
_atom_site_occupancy
La1 La 0.0000 0.0000 0.0000 1
Eu1 Eu 0.0000 0.0000 0.3061 1
Sn1 Sn 0.0000 0.0000 0.6511 1
```

---

2 is preferred energetically. Next in line: 174 meV per atom higher.

---

## 1
Below is LaEu2Sn after structural relaxation, with properties calculated at the GGA-PBE level.

Geometry as CIF:
```
data_LaEu2Sn
_chemical_formula_sum 'La1 Eu2 Sn1'
_cell_length_a 4.2630
_cell_length_b 4.2630
_cell_length_c 7.3848
_cell_angle_alpha 90.00
_cell_angle_beta 90.00
_cell_angle_gamma 90.00
_symmetry_space_group_name_H-M 'P 4/m m m'
_symmetry_Int_Tables_number 123
_symmetry_space_group_name_Hall '-P 4 2'
loop_
_atom_site_label
_atom_site_type_symbol
_atom_site_fract_x
_atom_site_fract_y
_atom_site_fract_z
_atom_site_occupancy
La1 La 0.0000 0.0000 0.0000 1
Eu1 Eu 0.5000 0.5000 0.2838 1
Sn1 Sn 0.0000 0.0000 0.5000 1
```

---

## 2
Below is LaEu2Sn after structural relaxation, with properties calculated at the GGA-PBE level.

Geometry as CIF:
```
data_LaEu2Sn
_chemical_formula_sum 'La1 Eu2 Sn1'
_cell_length_a 5.0061
_cell_length_b 5.0061
_cell_length_c 5.1852
_cell_angle_alpha 90.00
_cell_angle_beta 90.00
_cell_angle_gamma 90.00
_symmetry_space_group_name_H-M 'P 4/m m m'
_symmetry_Int_Tables_number 123
_symmetry_space_group_name_Hall '-P 4 2'
loop_
_atom_site_label
_atom_site_type_symbol
_atom_site_fract_x
_atom_site_fract_y
_atom_site_fract_z
_atom_site_occupancy
La1 La 0.0000 0.0000 0.0000 1
Eu1 Eu 0.0000 0.5000 0.5000 1
Sn1 Sn 0.5000 0.5000 0.0000 1
```

---

## 3
Below is LaEu2Sn after structural relaxation, with properties calculated at the GGA-PBE level.

Geometry as CIF:
```
data_LaEu2Sn
_chemical_formula_sum 'La3 Eu6 Sn3'
_cell_length_a 3.6726
_cell_length_b 3.6726
_cell_length_c 38.6153
_cell_angle_alpha 90.00
_cell_angle_beta 90.00
_cell_angle_gamma 120.00
_symmetry_space_group_name_H-M 'R -3 m'
_symmetry_Int_Tables_number 166
_symmetry_space_group_name_Hall '-R 3 2"'
loop_
_atom_site_label
_atom_site_type_symbol
_atom_site_fract_x
_atom_site_fract_y
_atom_site_fract_z
_atom_site_occupancy
La1 La 0.0000 0.0000 0.0000 1
Eu1 Eu 0.0000 0.0000 0.4153 1
Sn1 Sn 0.0000 0.0000 0.5000 1
```

---

2 is preferred energetically. Next in line: 148 meV per atom higher.

---

## 1
Below is SrLaEu2 after structural relaxation, with properties calculated at the GGA-PBE level.

Geometry as CIF:
```
data_SrLaEu2
_chemical_formula_sum 'Sr1 La1 Eu2'
_cell_length_a 6.3150
_cell_length_b 6.3150
_cell_length_c 4.3214
_cell_angle_alpha 90.00
_cell_angle_beta 90.00
_cell_angle_gamma 90.00
_symmetry_space_group_name_H-M 'P 4/m m m'
_symmetry_Int_Tables_number 123
_symmetry_space_group_name_Hall '-P 4 2'
loop_
_atom_site_label
_atom_site_type_symbol
_atom_site_fract_x
_atom_site_fract_y
_atom_site_fract_z
_atom_site_occupancy
Sr1 Sr 0.0000 0.0000 0.0000 1
La1 La 0.5000 0.5000 0.0000 1
Eu1 Eu 0.0000 0.5000 0.5000 1
```

---

## 2
Below is SrLaEu2 after structural relaxation, with properties calculated at the GGA-PBE level.

Geometry as CIF:
```
data_SrLaEu2
_chemical_formula_sum 'Sr3 La3 Eu6'
_cell_length_a 3.9364
_cell_length_b 3.9364
_cell_length_c 38.9803
_cell_angle_alpha 90.00
_cell_angle_beta 90.00
_cell_angle_gamma 120.00
_symmetry_space_group_name_H-M 'R -3 m'
_symmetry_Int_Tables_number 166
_symmetry_space_group_name_Hall '-R 3 2"'
loop_
_atom_site_label
_atom_site_type_symbol
_atom_site_fract_x
_atom_site_fract_y
_atom_site_fract_z
_atom_site_occupancy
Sr1 Sr 0.0000 0.0000 0.0000 1
La1 La 0.0000 0.0000 0.5000 1
Eu1 Eu 0.0000 0.0000 0.2459 1
```

---

## 3
Below is SrLaEu2 after structural relaxation, with properties calculated at the GGA-PBE level.

Geometry as CIF:
```
data_SrLaEu2
_chemical_formula_sum 'Sr4 La4 Eu8'
_cell_length_a 8.8504
_cell_length_b 8.8504
_cell_length_c 8.8504
_cell_angle_alpha 90.00
_cell_angle_beta 90.00
_cell_angle_gamma 90.00
_symmetry_space_group_name_H-M 'F m -3 m'
_symmetry_Int_Tables_number 225
_symmetry_space_group_name_Hall '-F 4 2 3'
loop_
_atom_site_label
_atom_site_type_symbol
_atom_site_fract_x
_atom_site_fract_y
_atom_site_fract_z
_atom_site_occupancy
Sr1 Sr 0.0000 0.0000 0.0000 1
La1 La 0.0000 0.0000 0.5000 1
Eu1 Eu 0.2500 0.2500 0.2500 1
```

---

## 4
Below is SrLaEu2 after structural relaxation, with properties calculated at the GGA-PBE level.

Geometry as CIF:
```
data_SrLaEu2
_chemical_formula_sum 'Sr1 La1 Eu2'
_cell_length_a 3.9265
_cell_length_b 3.9265
_cell_length_c 11.3037
_cell_angle_alpha 90.00
_cell_angle_beta 90.00
_cell_angle_gamma 90.00
_symmetry_space_group_name_H-M 'P 4/m m m'
_symmetry_Int_Tables_number 123
_symmetry_space_group_name_Hall '-P 4 2'
loop_
_atom_site_label
_atom_site_type_symbol
_atom_site_fract_x
_atom_site_fract_y
_atom_site_fract_z
_atom_site_occupancy
Sr1 Sr 0.0000 0.0000 0.0000 1
La1 La 0.0000 0.0000 0.5000 1
Eu1 Eu 0.5000 0.5000 0.2691 1
```

---

4 is preferred energetically. Next in line: 6 meV per atom higher.

---

## 1
Below is LaTbEu2 after structural relaxation, with properties calculated at the GGA-PBE level.

Geometry as CIF:
```
data_LaTbEu2
_chemical_formula_sum 'La4 Tb4 Eu8'
_cell_length_a 8.4221
_cell_length_b 8.4221
_cell_length_c 8.4221
_cell_angle_alpha 90.00
_cell_angle_beta 90.00
_cell_angle_gamma 90.00
_symmetry_space_group_name_H-M 'F m -3 m'
_symmetry_Int_Tables_number 225
_symmetry_space_group_name_Hall '-F 4 2 3'
loop_
_atom_site_label
_atom_site_type_symbol
_atom_site_fract_x
_atom_site_fract_y
_atom_site_fract_z
_atom_site_occupancy
La1 La 0.0000 0.0000 0.0000 1
Tb1 Tb 0.0000 0.0000 0.5000 1
Eu1 Eu 0.2500 0.2500 0.2500 1
```

---

## 2
Below is LaTbEu2 after structural relaxation, with properties calculated at the GGA-PBE level.

Geometry as CIF:
```
data_LaTbEu2
_chemical_formula_sum 'La1 Tb1 Eu2'
_cell_length_a 5.2571
_cell_length_b 5.2571
_cell_length_c 5.3918
_cell_angle_alpha 90.00
_cell_angle_beta 90.00
_cell_angle_gamma 90.00
_symmetry_space_group_name_H-M 'P 4/m m m'
_symmetry_Int_Tables_number 123
_symmetry_space_group_name_Hall '-P 4 2'
loop_
_atom_site_label
_atom_site_type_symbol
_atom_site_fract_x
_atom_site_fract_y
_atom_site_fract_z
_atom_site_occupancy
La1 La 0.0000 0.0000 0.0000 1
Tb1 Tb 0.5000 0.5000 0.0000 1
Eu1 Eu 0.0000 0.5000 0.5000 1
```

---

## 3
Below is LaTbEu2 after structural relaxation, with properties calculated at the GGA-PBE level.

Geometry as CIF:
```
data_LaTbEu2
_chemical_formula_sum 'La1 Tb1 Eu2'
_cell_length_a 3.7298
_cell_length_b 3.7298
_cell_length_c 10.6861
_cell_angle_alpha 90.00
_cell_angle_beta 90.00
_cell_angle_gamma 90.00
_symmetry_space_group_name_H-M 'P 4/m m m'
_symmetry_Int_Tables_number 123
_symmetry_space_group_name_Hall '-P 4 2'
loop_
_atom_site_label
_atom_site_type_symbol
_atom_site_fract_x
_atom_site_fract_y
_atom_site_fract_z
_atom_site_occupancy
La1 La 0.0000 0.0000 0.0000 1
Tb1 Tb 0.0000 0.0000 0.5000 1
Eu1 Eu 0.5000 0.5000 0.2574 1
```

---

3 is preferred energetically. Next in line: 6 meV per atom higher.

---

## 1
Below is La2TbEu after structural relaxation, with properties calculated at the GGA-PBE level.

Geometry as CIF:
```
data_La2TbEu
_chemical_formula_sum 'La8 Tb4 Eu4'
_cell_length_a 8.3858
_cell_length_b 8.3858
_cell_length_c 8.3858
_cell_angle_alpha 90.00
_cell_angle_beta 90.00
_cell_angle_gamma 90.00
_symmetry_space_group_name_H-M 'F m -3 m'
_symmetry_Int_Tables_number 225
_symmetry_space_group_name_Hall '-F 4 2 3'
loop_
_atom_site_label
_atom_site_type_symbol
_atom_site_fract_x
_atom_site_fract_y
_atom_site_fract_z
_atom_site_occupancy
La1 La 0.2500 0.2500 0.2500 1
Tb1 Tb 0.0000 0.0000 0.0000 1
Eu1 Eu 0.0000 0.0000 0.5000 1
```

---

## 2
Below is La2TbEu after structural relaxation, with properties calculated at the GGA-PBE level.

Geometry as CIF:
```
data_La2TbEu
_chemical_formula_sum 'La2 Tb1 Eu1'
_cell_length_a 3.7424
_cell_length_b 3.7424
_cell_length_c 10.5022
_cell_angle_alpha 90.00
_cell_angle_beta 90.00
_cell_angle_gamma 90.00
_symmetry_space_group_name_H-M 'P 4/m m m'
_symmetry_Int_Tables_number 123
_symmetry_space_group_name_Hall '-P 4 2'
loop_
_atom_site_label
_atom_site_type_symbol
_atom_site_fract_x
_atom_site_fract_y
_atom_site_fract_z
_atom_site_occupancy
La1 La 0.0000 0.0000 0.2353 1
Tb1 Tb 0.5000 0.5000 0.0000 1
Eu1 Eu 0.5000 0.5000 0.5000 1
```

---

## 3
Below is La2TbEu after structural relaxation, with properties calculated at the GGA-PBE level.

Geometry as CIF:
```
data_La2TbEu
_chemical_formula_sum 'La2 Tb1 Eu1'
_cell_length_a 5.3050
_cell_length_b 5.3050
_cell_length_c 5.1568
_cell_angle_alpha 90.00
_cell_angle_beta 90.00
_cell_angle_gamma 90.00
_symmetry_space_group_name_H-M 'P 4/m m m'
_symmetry_Int_Tables_number 123
_symmetry_space_group_name_Hall '-P 4 2'
loop_
_atom_site_label
_atom_site_type_symbol
_atom_site_fract_x
_atom_site_fract_y
_atom_site_fract_z
_atom_site_occupancy
La1 La 0.0000 0.5000 0.0000 1
Tb1 Tb 0.0000 0.0000 0.5000 1
Eu1 Eu 0.5000 0.5000 0.5000 1
```

---

2 is preferred energetically. Next in line: 35 meV per atom higher.